Record 1
## Ba6SrHAu (PBE-GGA)

Data for a geometry-optimized Ba6SrHAu structure.

It has space group P312 (No. 149), with a = 7.9629 Å, b = 7.9629 Å, c = 9.6467 Å, α = 90.00°, β = 90.00° and γ = 120.00°. The inequivalent atoms are Ba at (0.0112, 0.3212, 0.3158), Sr at (0.6667, 0.3333, 0.0000), H at (0.0000, 0.0000, 0.5000) and Au at (0.3333, 0.6667, 0.5000).

Record 2
## BaTlH6Au2 (PBE-GGA)

Data for a geometry-optimized BaTlH6Au2 structure.

It has space group C2/c (No. 15), with a = 7.6736 Å, b = 11.6279 Å, c = 6.7367 Å, α = 90.00°, β = 94.56° and γ = 90.00°. The inequivalent atoms are Ba at (0.0000, 0.1535, 0.2500), Tl at (0.0000, 0.4069, 0.7500), H at (0.1345, 0.3386, 0.0648), H at (0.1411, 0.0296, 0.5576), H at (0.1567, 0.2434, 0.6822) and Au at (0.2469, 0.1048, 0.7403).

Record 3
## Ba2TlH6Au2 (PBE-GGA)

Data for a geometry-optimized Ba2TlH6Au2 structure.

It has space group C2/m (No. 12), with a = 11.1956 Å, b = 5.3430 Å, c = 8.0054 Å, α = 90.00°, β = 125.87° and γ = 90.00°. The inequivalent atoms are Ba at (0.2186, 0.0000, 0.2369), Tl at (0.0000, 0.0000, 0.5000), H at (0.0379, 0.1918, 0.8354), H at (0.2147, 0.5000, 0.3576) and Au at (0.0005, 0.5000, 0.1904).

Uncorrected energy list, top to bottom, in eV/atom: -2.2618, -3.1669, -3.2539